Computed, not measured: NbSnW2O after structural relaxation at the GGA+U level of DFT.

Summary:
size of the total moment = 4.03 μB/cell
DFT total energy = -0.3728 Ry per atom

a b c (Å): 5.363 3.863 5.363
angles (deg): 90.00 90.00 90.00
Site moments in Bohr magnetons follow the coordinates.
Sites, in units of the cell vectors:
O  0.000  0.500  0.000  0.23
W  0.000  0.000  0.500  2.54
W  0.500  0.000  0.000  2.41
Sn  0.000  0.000  0.000  -0.02
Nb  0.500  0.500  0.500  -1.70